(1)
Computed, not measured: an optimized crystal structure of FeSi2Au2 at the GGA-PBE level of DFT.

Results
Space group: P4/mbm
Uncorrected formation energy, meV/atom: 131
Calculated density, g/cm3: 10.4

CIF file:
```
data_FeSi2Au2
_symmetry_space_group_name_H-M 'P 1'
_symmetry_Int_Tables_number 1
_cell_length_a 6.117
_cell_length_b 6.117
_cell_length_c 4.314
_cell_angle_alpha 90.00
_cell_angle_beta 90.00
_cell_angle_gamma 90.00
loop_
_symmetry_equiv_pos_as_xyz
'x,y,z'
loop_
_atom_site_label
_atom_site_fract_x
_atom_site_fract_y
_atom_site_fract_z
Si1 0.367 0.867 0.000
Si2 0.867 0.633 0.000
Si3 0.633 0.133 0.000
Si4 0.133 0.367 0.000
Au1 0.234 0.734 0.500
Au2 0.734 0.766 0.500
Au3 0.766 0.266 0.500
Au4 0.266 0.234 0.500
Fe1 0.000 0.000 0.000
Fe2 0.500 0.500 0.000
```



(2)
Computed, not measured: an optimized crystal structure of Tb4Co2Ir at the GGA-PBE level of DFT.

Results
Space group: P1
Calculated density, g/cm3: 10.2
Formation enthalpy at 0 K, meV/atom: -295

CIF file:
```
data_Tb4Co2Ir
_symmetry_space_group_name_H-M 'P 1'
_symmetry_Int_Tables_number 1
_cell_length_a 7.367
_cell_length_b 7.367
_cell_length_c 7.359
_cell_angle_alpha 108.78
_cell_angle_beta 108.72
_cell_angle_gamma 110.97
loop_
_symmetry_equiv_pos_as_xyz
'x,y,z'
loop_
_atom_site_label
_atom_site_fract_x
_atom_site_fract_y
_atom_site_fract_z
Tb1 0.878 0.252 0.256
Tb2 0.257 0.498 0.129
Tb3 0.996 0.622 0.745
Tb4 0.769 0.026 0.643
Tb5 0.383 0.126 0.357
Tb6 0.370 0.128 0.871
Tb7 0.480 0.624 0.756
Tb8 0.867 0.724 0.244
Co1 0.695 0.375 0.820
Co2 0.554 0.875 0.179
Co3 0.627 0.551 0.428
Co4 0.124 0.199 0.573
Ir1 0.279 0.779 0.500
Ir2 0.970 0.971 0.000
```



(3)
Computed, not measured: an optimized crystal structure of KAsW2 at the GGA-PBE level of DFT.

Results
Space group: Imm2
Calculated density, g/cm3: 8.5
Formation enthalpy at 0 K, meV/atom: 1178

CIF file:
```
data_KAsW2
_symmetry_space_group_name_H-M 'P 1'
_symmetry_Int_Tables_number 1
_cell_length_a 6.212
_cell_length_b 6.212
_cell_length_c 6.212
_cell_angle_alpha 152.12
_cell_angle_beta 122.23
_cell_angle_gamma 65.33
loop_
_symmetry_equiv_pos_as_xyz
'x,y,z'
loop_
_atom_site_label
_atom_site_fract_x
_atom_site_fract_y
_atom_site_fract_z
As1 0.457 0.457 0.000
K1 0.740 0.240 0.500
W1 0.058 0.058 0.000
W2 0.244 0.744 0.500
```



(4)
Computed, not measured: an optimized crystal structure of Dy4Ge8Ir at the GGA-PBE level of DFT.

Results
Space group: Pmm2
Calculated density, g/cm3: 8.7
Formation enthalpy at 0 K, meV/atom: -631

CIF file:
```
data_Dy4Ge8Ir
_symmetry_space_group_name_H-M 'P 1'
_symmetry_Int_Tables_number 1
_cell_length_a 4.040
_cell_length_b 4.146
_cell_length_c 16.204
_cell_angle_alpha 90.00
_cell_angle_beta 90.00
_cell_angle_gamma 90.00
loop_
_symmetry_equiv_pos_as_xyz
'x,y,z'
loop_
_atom_site_label
_atom_site_fract_x
_atom_site_fract_y
_atom_site_fract_z
Dy1 0.000 0.000 0.098
Dy2 0.000 0.500 0.610
Dy3 0.500 0.500 0.399
Dy4 0.500 0.000 0.895
Ge1 0.000 0.000 0.466
Ge2 0.000 0.500 0.941
Ge3 0.500 0.500 0.046
Ge4 0.500 0.000 0.566
Ge5 0.000 0.500 0.232
Ge6 0.000 0.000 0.750
Ge7 0.500 0.000 0.230
Ge8 0.500 0.500 0.754
Ir1 0.000 0.000 0.316
```